Record 1
Below is an optimized crystal structure of Sc5Al4Pt, with properties calculated at the GGA-PBE level.

The space group is P4/mmm (No. 123) and the conventional cell measures 3.397, 3.397 and 16.470 Å, with angles of 90.00, 90.00 and 90.00 degrees. The inequivalent atoms are Sc at (0.000, 0.000, 0.000), Sc at (0.000, 0.000, 0.203), Sc at (0.000, 0.000, 0.406), Al at (0.500, 0.500, 0.102), Al at (0.500, 0.500, 0.304) and Pt at (0.500, 0.500, 0.500).

The formation enthalpy at 0 K comes out at -612 meV/atom. Its total energy is -5.8785 eV/atom. The total magnetic moment is 0.00 μB per formula unit. The crystal system is tetragonal.

---

Record 2
Below is an optimized crystal structure of ScAl2Pt2, with properties calculated at the GGA-PBE level.

The space group is P4/mbm (No. 127) and the conventional cell measures 7.613, 7.613 and 2.782 Å, with angles of 90.00, 90.00 and 90.00 degrees. The inequivalent atoms are Sc at (0.000, 0.000, 0.000), Al at (0.127, 0.373, 0.000) and Pt at (0.170, 0.670, 0.500).

The formation enthalpy at 0 K comes out at -965 meV/atom. Its total energy is -6.1450 eV/atom. The total magnetic moment is 0.36 μB per formula unit. The crystal system is tetragonal. The calculation puts the energy above the most stable polymorph in this dataset at 80 meV/atom.

---

Record 3
Below is an optimized crystal structure of ScAlPt4, with properties calculated at the GGA-PBE level.

The space group is F-43m (No. 216) and the conventional cell measures 7.473, 7.473 and 7.473 Å, with angles of 90.00, 90.00 and 90.00 degrees. The inequivalent atoms are Sc at (0.000, 0.000, 0.000), Al at (0.250, 0.250, 0.750) and Pt at (0.125, 0.125, 0.375).

The formation enthalpy at 0 K comes out at -665 meV/atom. Its total energy is -6.3713 eV/atom. The total magnetic moment is 0.00 μB per formula unit. The crystal system is cubic.

---

Record 4
Below is an optimized crystal structure of ScAl2Pt2, with properties calculated at the GGA-PBE level.

The space group is I4/mmm (No. 139) and the conventional cell measures 3.851, 3.851 and 11.870 Å, with angles of 90.00, 90.00 and 90.00 degrees. The inequivalent atoms are Sc at (0.000, 0.000, 0.000), Al at (0.000, 0.500, 0.250) and Pt at (0.000, 0.000, 0.387).

The formation enthalpy at 0 K comes out at -1021 meV/atom. Its total energy is -6.2002 eV/atom. The total magnetic moment is 0.00 μB per formula unit. The crystal system is tetragonal. The calculation puts the energy above the most stable polymorph in this dataset at 25 meV/atom.

---

Record 5
Below is an optimized crystal structure of ScAl2Pt, with properties calculated at the GGA-PBE level.

The space group is Fm-3m (No. 225) and the conventional cell measures 6.391, 6.391 and 6.391 Å, with angles of 90.00, 90.00 and 90.00 degrees. The inequivalent atoms are Sc at (0.000, 0.000, 0.000), Al at (0.250, 0.250, 0.250) and Pt at (0.000, 0.000, 0.500).

The formation enthalpy at 0 K comes out at -676 meV/atom. Its total energy is -5.6406 eV/atom. The total magnetic moment is 0.59 μB per formula unit. The crystal system is cubic.

---

Record 6
Below is an optimized crystal structure of Sc3Al7Pt4, with properties calculated at the GGA-PBE level.

The space group is C2/m (No. 12) and the conventional cell measures 15.235, 4.195 and 9.292 Å, with angles of 90.00, 125.60 and 90.00 degrees. The inequivalent atoms are Sc at (0.000, 0.000, 0.000), Sc at (0.196, 0.500, 0.700), Al at (0.000, 0.000, 0.500), Al at (0.006, 0.500, 0.301), Al at (0.154, 0.000, 0.421), Al at (0.184, 0.500, 0.028), Pt at (0.114, 0.000, 0.838) and Pt at (0.162, 0.500, 0.276).

The formation enthalpy at 0 K comes out at -963 meV/atom. Its total energy is -5.9167 eV/atom. The total magnetic moment is 0.00 μB per formula unit. The crystal system is monoclinic.

---

Record 7
Below is an optimized crystal structure of ScAl2Pt, with properties calculated at the GGA-PBE level.

The space group is Pnma (No. 62) and the conventional cell measures 15.474, 6.843 and 5.317 Å, with angles of 90.00, 90.00 and 90.00 degrees. The inequivalent atoms are Sc at (0.107, 0.250, 0.229), Sc at (0.144, 0.750, 0.467), Al at (0.033, 0.050, 0.736), Al at (0.214, 0.552, 0.957), Pt at (0.072, 0.750, 0.989) and Pt at (0.175, 0.250, 0.711).

The formation enthalpy at 0 K comes out at -947 meV/atom. Its total energy is -5.9115 eV/atom. The total magnetic moment is 0.00 μB per formula unit. The crystal system is orthorhombic.

---

Record 8
Below is an optimized crystal structure of ScAl3Pt2, with properties calculated at the GGA-PBE level.

The space group is C2/m (No. 12) and the conventional cell measures 16.642, 4.094 and 9.744 Å, with angles of 90.00, 109.48 and 90.00 degrees. The inequivalent atoms are Sc at (0.000, 0.000, 0.000), Sc at (0.156, 0.000, 0.701), Al at (0.000, 0.500, 0.500), Al at (0.038, 0.000, 0.349), Al at (0.122, 0.500, 0.191), Al at (0.180, 0.500, 0.962), Al at (0.213, 0.000, 0.392), Pt at (0.030, 0.500, 0.790), Pt at (0.138, 0.500, 0.458) and Pt at (0.193, 0.000, 0.127).

The formation enthalpy at 0 K comes out at -937 meV/atom. Its total energy is -5.8769 eV/atom. The total magnetic moment is 0.00 μB per formula unit. The crystal system is monoclinic.

---

Record 9
Below is an optimized crystal structure of ScAlPt2, with properties calculated at the GGA-PBE level.

The space group is Imm2 (No. 44) and the conventional cell measures 3.860, 3.913 and 8.606 Å, with angles of 90.00, 90.00 and 90.00 degrees. The inequivalent atoms are Sc at (0.000, 0.000, 0.000), Al at (0.000, 0.500, 0.751), Pt at (0.000, 0.000, 0.499) and Pt at (0.000, 0.500, 0.250).

The formation enthalpy at 0 K comes out at -1058 meV/atom. Its total energy is -6.5967 eV/atom. The total magnetic moment is 0.00 μB per formula unit. The crystal system is orthorhombic.

---

Record 10
Below is an optimized crystal structure of ScAl2Pt2, with properties calculated at the GGA-PBE level.

The space group is P4/mbm (No. 127) and the conventional cell measures 7.597, 7.597 and 2.844 Å, with angles of 90.00, 90.00 and 90.00 degrees. The inequivalent atoms are Sc at (0.000, 0.000, 0.000), Al at (0.150, 0.350, 0.500) and Pt at (0.145, 0.645, 0.000).

The formation enthalpy at 0 K comes out at -934 meV/atom. Its total energy is -6.1137 eV/atom. The total magnetic moment is 0.00 μB per formula unit. The crystal system is tetragonal. The calculation puts the energy above the most stable polymorph in this dataset at 111 meV/atom.

---

Record 11
Below is an optimized crystal structure of ScAlPt2, with properties calculated at the GGA-PBE level.

The space group is P4mm (No. 99) and the conventional cell measures 3.532, 3.532 and 5.486 Å, with angles of 90.00, 90.00 and 90.00 degrees. The inequivalent atoms are Sc at (0.000, 0.000, 0.000), Al at (0.500, 0.500, 0.331), Pt at (0.000, 0.000, 0.481) and Pt at (0.500, 0.500, 0.814).

The formation enthalpy at 0 K comes out at -1010 meV/atom. Its total energy is -6.5488 eV/atom. The total magnetic moment is 0.00 μB per formula unit. The crystal system is tetragonal.

---

Record 12
Below is an optimized crystal structure of ScAlPt2, with properties calculated at the GGA-PBE level.

The space group is F-43m (No. 216) and the conventional cell measures 6.426, 6.426 and 6.426 Å, with angles of 90.00, 90.00 and 90.00 degrees. The inequivalent atoms are Sc at (0.000, 0.000, 0.000), Al at (0.250, 0.250, 0.750), Pt at (0.000, 0.000, 0.500) and Pt at (0.250, 0.250, 0.250).

The formation enthalpy at 0 K comes out at -775 meV/atom. Its total energy is -6.3135 eV/atom. The total magnetic moment is 0.00 μB per formula unit. The crystal system is cubic.

---

Record 13
Below is an optimized crystal structure of Sc5AlPt4, with properties calculated at the GGA-PBE level.

The space group is P4/mmm (No. 123) and the conventional cell measures 3.288, 3.288 and 16.853 Å, with angles of 90.00, 90.00 and 90.00 degrees. The inequivalent atoms are Sc at (0.000, 0.000, 0.000), Sc at (0.000, 0.000, 0.199), Sc at (0.000, 0.000, 0.395), Al at (0.500, 0.500, 0.500), Pt at (0.500, 0.500, 0.101) and Pt at (0.500, 0.500, 0.301).

The formation enthalpy at 0 K comes out at -1082 meV/atom. Its total energy is -7.0384 eV/atom. The total magnetic moment is 0.00 μB per formula unit. The crystal system is tetragonal.

---

Record 14
Below is an optimized crystal structure of ScAl2Pt, with properties calculated at the GGA-PBE level.

The space group is R3m (No. 160, hexagonal axes) and the conventional cell measures 3.1097, 3.1097 and 25.9645 Å, with angles of 90.00, 90.00 and 120.00 degrees. The inequivalent atoms are Sc at (0.0000, 0.0000, 0.0000), Al at (0.0000, 0.0000, 0.5122), Al at (0.0000, 0.0000, 0.7607) and Pt at (0.0000, 0.0000, 0.2527).

The formation enthalpy at 0 K comes out at -399 meV/atom. Its total energy is -5.3631 eV/atom. The total magnetic moment is 0.00 μB per formula unit. The crystal system is trigonal.

---

Record 15
Below is an optimized crystal structure of ScAl2Pt, with properties calculated at the GGA-PBE level.

The space group is C2/m (No. 12) and the conventional cell measures 7.338, 4.226 and 5.183 Å, with angles of 90.00, 117.99 and 90.00 degrees. The inequivalent atoms are Sc at (0.000, 0.000, 0.000), Al at (0.219, 0.000, 0.658) and Pt at (0.000, 0.500, 0.500).

The formation enthalpy at 0 K comes out at -750 meV/atom. Its total energy is -5.7147 eV/atom. The total magnetic moment is 0.00 μB per formula unit. The crystal system is monoclinic.

---

Record 16
Below is an optimized crystal structure of Sc2Al2Pt, with properties calculated at the GGA-PBE level.

The space group is P4/mbm (No. 127) and the conventional cell measures 6.634, 6.634 and 4.240 Å, with angles of 90.00, 90.00 and 90.00 degrees. The inequivalent atoms are Sc at (0.168, 0.332, 0.000), Al at (0.138, 0.638, 0.500) and Pt at (0.000, 0.000, 0.500).

The formation enthalpy at 0 K comes out at -759 meV/atom. Its total energy is -5.9966 eV/atom. The total magnetic moment is 0.00 μB per formula unit. The crystal system is tetragonal.

---

Record 17
Below is an optimized crystal structure of ScAl2Pt, with properties calculated at the GGA-PBE level.

The space group is P4mm (No. 99) and the conventional cell measures 3.339, 3.339 and 6.142 Å, with angles of 90.00, 90.00 and 90.00 degrees. The inequivalent atoms are Sc at (0.000, 0.000, 0.000), Al at (0.000, 0.000, 0.524), Al at (0.500, 0.500, 0.284) and Pt at (0.500, 0.500, 0.728).

The formation enthalpy at 0 K comes out at -707 meV/atom. Its total energy is -5.6711 eV/atom. The total magnetic moment is 0.00 μB per formula unit. The crystal system is tetragonal.

---

Record 18
Below is an optimized crystal structure of ScAlPt6, with properties calculated at the GGA-PBE level.

The space group is P4/mmm (No. 123) and the conventional cell measures 3.980, 3.980 and 7.873 Å, with angles of 90.00, 90.00 and 90.00 degrees. The inequivalent atoms are Sc at (0.000, 0.000, 0.000), Al at (0.000, 0.000, 0.500), Pt at (0.000, 0.500, 0.257), Pt at (0.500, 0.500, 0.000) and Pt at (0.500, 0.500, 0.500).

The formation enthalpy at 0 K comes out at -880 meV/atom. Its total energy is -6.6695 eV/atom. The total magnetic moment is 0.00 μB per formula unit. The crystal system is tetragonal.

---

Record 19
Below is an optimized crystal structure of Sc2AlSi3Pt4, with properties calculated at the GGA-PBE level.

The space group is P-4m2 (No. 115) and the conventional cell measures 3.963, 3.963 and 10.604 Å, with angles of 90.00, 90.00 and 90.00 degrees. The inequivalent atoms are Sc at (0.000, 0.500, 0.240), Al at (0.000, 0.000, 0.500), Si at (0.000, 0.500, 0.860), Si at (0.500, 0.500, 0.500), Pt at (0.000, 0.000, 0.000), Pt at (0.000, 0.500, 0.642) and Pt at (0.500, 0.500, 0.000).

Its total energy is -6.6964 eV/atom. The formation energy (no corrections) comes out at -1.01 eV per atom. The total magnetic moment is 0.00 μB per formula unit. The crystal system is tetragonal.

---

Record 20
Below is an optimized crystal structure of ScAlSiPt2, with properties calculated at the GGA-PBE level.

The space group is P4/mmm (No. 123) and the conventional cell measures 4.835, 4.835 and 4.950 Å, with angles of 90.00, 90.00 and 90.00 degrees. The inequivalent atoms are Sc at (0.000, 0.000, 0.000), Al at (0.500, 0.500, 0.500), Si at (0.000, 0.000, 0.500) and Pt at (0.000, 0.500, 0.000).

Its total energy is -4.7791 eV/atom. The formation energy (no corrections) comes out at 0.74 eV per atom. The total magnetic moment is 0.00 μB per formula unit. The crystal system is tetragonal.

---

Record 21
Below is an optimized crystal structure of SmScAlPt, with properties calculated at the GGA-PBE level.

The space group is F-43m (No. 216) and the conventional cell measures 6.997, 6.997 and 6.997 Å, with angles of 90.00, 90.00 and 90.00 degrees. The inequivalent atoms are Sm at (0.000, 0.000, 0.000), Sc at (0.000, 0.000, 0.500), Al at (0.250, 0.250, 0.250) and Pt at (0.250, 0.250, 0.750).

The formation enthalpy at 0 K comes out at -680 meV/atom. Its total energy is -5.8884 eV/atom. The total magnetic moment is 0.00 μB per formula unit. The crystal system is cubic.

---

Record 22
Below is an optimized crystal structure of Sm2ScAl2Pt5, with properties calculated at the GGA-PBE level.

The space group is P4/mbm (No. 127) and the conventional cell measures 10.098, 10.098 and 3.682 Å, with angles of 90.00, 90.00 and 90.00 degrees. The inequivalent atoms are Sm at (0.177, 0.323, 0.000), Sc at (0.000, 0.000, 0.000), Al at (0.122, 0.622, 0.000), Pt at (0.000, 0.500, 0.500) and Pt at (0.063, 0.791, 0.500).

The formation enthalpy at 0 K comes out at -1080 meV/atom. Its total energy is -6.4257 eV/atom. The total magnetic moment is 0.00 μB per formula unit. The crystal system is tetragonal.

---

Record 23
Below is an optimized crystal structure of Sr2ScAl12Pt3, with properties calculated at the GGA-PBE level.

The space group is R-3m (No. 166, hexagonal axes) and the conventional cell measures 9.3409, 9.3409 and 17.4053 Å, with angles of 90.00, 90.00 and 120.00 degrees. The inequivalent atoms are Sr at (0.0000, 0.0000, 0.0998), Sc at (0.0000, 0.0000, 0.5000), Al at (0.0008, 0.5004, 0.8607), Al at (0.0669, 0.5335, 0.3030) and Pt at (0.0000, 0.5000, 0.0000).

The formation enthalpy at 0 K comes out at -126 meV/atom. Its total energy is -4.1661 eV/atom. The total magnetic moment is 0.00 μB per formula unit. The crystal system is trigonal.